1.
The following is a PBE calculation of an optimized crystal structure of Ho2TmSi2Rh5, from Alexandria via LeMat-Bulk.

- formation energy (no corrections) (eV/atom) = -1.03

abc: 9.9254 9.9254 3.5217
angles: 90.00 90.00 90.00
Space group P4/mbm (No. 127)
One atom of each set of equivalent atoms:
Ho 0.1737 0.3263 0.0000 (multiplicity 4)
Tm 0.0000 0.0000 0.0000 (multiplicity 2)
Si 0.1232 0.6232 0.0000 (multiplicity 4)
Rh 0.0000 0.5000 0.5000 (multiplicity 2)
Rh 0.0702 0.7797 0.5000 (multiplicity 8)

=====

2.
The following is a PBE calculation of an optimized crystal structure of CrIr2Au, from Alexandria via LeMat-Bulk.

- polymorph energy (0 for the lowest one) (meV per atom) = 177.9
- calculated formation energy (eV/f.u.) = 0.81

abc: 9.1345 2.8269 4.7740
angles: 90.00 100.82 90.00
Space group Cm (No. 8)
One atom of each set of equivalent atoms:
Cr 0.0000 0.0000 0.0000 (multiplicity 2)
Ir 0.2416 0.5000 0.2465 (multiplicity 2)
Ir 0.4873 0.0000 0.4611 (multiplicity 2)
Au 0.2459 0.0000 0.7471 (multiplicity 2)

=====

3.
The following is a PBE calculation of an optimized crystal structure of K3AgF5, from Alexandria via LeMat-Bulk.

- formation energy (no corrections) (eV/atom) = -2.11

abc: 7.2064 7.2064 13.2560
angles: 90.00 90.00 90.00
Space group I4/mcm (No. 140)
One atom of each set of equivalent atoms:
K 0.0000 0.0000 0.2500 (multiplicity 4)
K 0.1680 0.3320 0.0000 (multiplicity 8)
Ag 0.0000 0.5000 0.2500 (multiplicity 4)
F 0.0000 0.0000 0.0000 (multiplicity 4)
F 0.1524 0.3476 0.3614 (multiplicity 16)

=====

4.
The following is a PBE calculation of an optimized crystal structure of Sr3Li2PuO8, from Alexandria via LeMat-Bulk.

- formation energy (no corrections) (eV/atom) = -2.30

abc: 5.7057 5.7057 7.3926
angles: 90.00 90.00 120.00
Space group P-3m1 (No. 164)
One atom of each set of equivalent atoms:
Sr 0.0000 0.0000 0.0000 (multiplicity 1)
Sr 0.3333 0.6667 0.6502 (multiplicity 2)
Li 0.3333 0.6667 0.2057 (multiplicity 2)
Pu 0.0000 0.0000 0.5000 (multiplicity 1)
O 0.1628 0.3256 0.3393 (multiplicity 6)
O 0.3333 0.6667 0.9608 (multiplicity 2)

=====

5.
The following is a PBE calculation of an optimized crystal structure of BiAuS2N, from Alexandria via LeMat-Bulk.

- polymorph energy (0 for the lowest one) (meV per atom) = 0.0
- formation energy (no corrections) (eV/atom) = 0.84

abc: 5.0643 5.0643 3.9258
angles: 90.00 90.00 90.00
Space group P4/mmm (No. 123)
One atom of each set of equivalent atoms:
Bi 0.0000 0.0000 0.0000 (multiplicity 1)
Au 0.5000 0.5000 0.5000 (multiplicity 1)
S 0.0000 0.5000 0.5000 (multiplicity 2)
N 0.5000 0.5000 0.0000 (multiplicity 1)

=====

6.
The following is a PBE calculation of an optimized crystal structure of YErPdPt, from Alexandria via LeMat-Bulk.

- polymorph energy (0 for the lowest one) (meV per atom) = 0.0
- calculated formation energy (eV/f.u.) = -4.44

abc: 4.4992 3.7605 10.4849
angles: 90.00 90.00 90.00
Space group Amm2 (No. 38)
One atom of each set of equivalent atoms:
Y 0.0000 0.0000 0.0000 (multiplicity 2)
Er 0.5000 0.0000 0.7243 (multiplicity 2)
Pd 0.0000 0.0000 0.2743 (multiplicity 2)
Pt 0.5000 0.0000 0.4474 (multiplicity 2)